# 1
! PBE SmHfMg2, optimized geometry; values from VASP
! Volume ... 25.1 A^3/atom
! Formation energy from the elements ... 0.14 eV/atom
! Energy above the lowest structure with this stoichiometry ... 45 meV per atom
! Crystal system ... trigonal
&SYSTEM
  ibrav = 0, nat = 12, ntyp = 3
/
ATOMIC_SPECIES
Sm 150.36 Sm.upf
Hf 178.49 Hf.upf
Mg 24.30 Mg.upf
CELL_PARAMETERS angstrom
3.221 0.000 0.000
-1.610 2.789 0.000
0.000 0.000 33.505
ATOMIC_POSITIONS angstrom
Sm 0.000 0.000 0.000
Sm 0.000 1.859 22.337
Sm 1.610 0.930 11.168
Hf 0.000 0.000 16.752
Hf 0.000 1.859 5.584
Hf 1.610 0.930 27.921
Mg 0.000 0.000 8.209
Mg 0.000 0.000 25.296
Mg 0.000 1.859 14.128
Mg 0.000 1.859 30.545
Mg 1.610 0.930 2.960
Mg 1.610 0.930 19.377


# 2
! PBE SmHfMg2, optimized geometry; values from VASP
! Volume ... 24.6 A^3/atom
! Formation energy from the elements ... 0.10 eV/atom
! Energy above the lowest structure with this stoichiometry ... 0 meV per atom
! Crystal system ... tetragonal
&SYSTEM
  ibrav = 0, nat = 4, ntyp = 3
/
ATOMIC_SPECIES
Sm 150.36 Sm.upf
Hf 178.49 Hf.upf
Mg 24.30 Mg.upf
CELL_PARAMETERS angstrom
3.610 0.000 0.000
0.000 3.610 0.000
0.000 0.000 7.558
ATOMIC_POSITIONS angstrom
Sm 0.000 0.000 0.000
Hf 0.000 0.000 3.779
Mg 1.805 1.805 2.097
Mg 1.805 1.805 5.461


Magnetization values (in Bohr magnetons per cell) by entry order: 0.0, 0.0.